No. 1
Compound: ThNiHgAu
Source: Alexandria via LeMat-Bulk
Functional: PBE-GGA
Structure: relaxed

Results
- energy of formation from the pure elements (meV/atom) = -312
- Fermi-level density of states (states/eV/atom) = 0.857
- total magnetization (μB per formula unit) = 0.00

Unit cell a=6.9621 b=6.9621 c=6.9621 alpha=90.00 beta=90.00 gamma=90.00
Closest atoms and distances in Å follow each position.
Space group F-43m (No. 216)
Asymmetric unit:
Th: 0.0000 0.0000 0.0000 x4  4 Ni 3.01, 4 Au 3.01
Ni: 0.2500 0.2500 0.7500 x4  4 Hg 3.01, 4 Th 3.01
Hg: 0.0000 0.0000 0.5000 x4  4 Ni 3.01, 4 Au 3.01
Au: 0.2500 0.2500 0.2500 x4  4 Hg 3.01, 4 Th 3.01

---

No. 2
Compound: TmNiHgAu
Source: Alexandria via LeMat-Bulk
Functional: PBE-GGA
Structure: relaxed

Results
- energy of formation from the pure elements (meV/atom) = -361
- Fermi-level density of states (states/eV/atom) = 0.567
- total magnetization (μB per formula unit) = 0.00

Unit cell a=6.7255 b=6.7255 c=6.7255 alpha=90.00 beta=90.00 gamma=90.00
Closest atoms and distances in Å follow each position.
Space group F-43m (No. 216)
Asymmetric unit:
Tm: 0.0000 0.0000 0.0000 x4  4 Ni 2.91, 4 Au 2.91
Ni: 0.2500 0.2500 0.7500 x4  4 Hg 2.91, 4 Tm 2.91
Hg: 0.0000 0.0000 0.5000 x4  4 Au 2.91, 4 Ni 2.91
Au: 0.2500 0.2500 0.2500 x4  4 Hg 2.91, 4 Tm 2.91

---

No. 3
Compound: ZnNiHgAu
Source: Alexandria via LeMat-Bulk
Functional: PBE-GGA
Structure: relaxed

Results
- energy of formation from the pure elements (meV/atom) = 55
- Fermi-level density of states (states/eV/atom) = 0.514
- total magnetization (μB per formula unit) = 0.00

Unit cell a=6.3556 b=6.3556 c=6.3556 alpha=90.00 beta=90.00 gamma=90.00
Closest atoms and distances in Å follow each position.
Space group F-43m (No. 216)
Asymmetric unit:
Zn: 0.0000 0.0000 0.0000 x4  4 Hg 2.75, 4 Au 2.75
Ni: 0.0000 0.0000 0.5000 x4  4 Hg 2.75, 4 Au 2.75
Hg: 0.2500 0.2500 0.2500 x4  4 Zn 2.75, 4 Ni 2.75
Au: 0.2500 0.2500 0.7500 x4  4 Ni 2.75, 4 Zn 2.75

---

No. 4
Compound: ZrNiHgAu
Source: Alexandria via LeMat-Bulk
Functional: PBE-GGA
Structure: relaxed

Results
- energy of formation from the pure elements (meV/atom) = -210
- Fermi-level density of states (states/eV/atom) = 0.723
- total magnetization (μB per formula unit) = 0.00

Unit cell a=6.5954 b=6.5954 c=6.5954 alpha=90.00 beta=90.00 gamma=90.00
Closest atoms and distances in Å follow each position.
Space group F-43m (No. 216)
Asymmetric unit:
Zr: 0.0000 0.0000 0.0000 x4  4 Ni 2.86, 4 Au 2.86
Ni: 0.2500 0.2500 0.7500 x4  4 Hg 2.86, 4 Zr 2.86
Hg: 0.0000 0.0000 0.5000 x4  4 Ni 2.86, 4 Au 2.86
Au: 0.2500 0.2500 0.2500 x4  4 Hg 2.86, 4 Zr 2.86

---

Fermi-level density of states of number 1 (ThNiHgAu)?
0.857 states/eV/atom